(1)
Entry from the Alexandria database: Ca3Ga2Ag3 after structural relaxation (PBE).

Cell lengths 5.8990, 5.8990, 15.2015 Å; angles 90.00, 90.00, 133.45 degrees
Last column: nearest neighbours and their distance in Å.
Fractional positions:
Ca (0.0895, 0.9105, 0.6047)  4 Ga 3.20-3.34, 7 Ag 3.23-3.40
Ca (0.0895, 0.9105, 0.8953)  4 Ga 3.20-3.34, 7 Ag 3.23-3.40
Ca (0.3783, 0.6217, 0.7500)  5 Ag 3.18-3.22, 4 Ga 3.39
Ca (0.6217, 0.3783, 0.2500)  5 Ag 3.18-3.22, 4 Ga 3.39
Ca (0.9105, 0.0895, 0.1047)  4 Ga 3.20-3.34, 7 Ag 3.23-3.40
Ca (0.9105, 0.0895, 0.3953)  4 Ga 3.20-3.34, 7 Ag 3.23-3.40
Ga (0.2053, 0.7947, 0.0990)  4 Ag 2.65-2.84
Ga (0.2053, 0.7947, 0.4010)  4 Ag 2.65-2.84
Ga (0.7947, 0.2053, 0.5990)  4 Ag 2.65-2.84
Ga (0.7947, 0.2053, 0.9010)  4 Ag 2.65-2.84
Ag (0.3269, 0.6731, 0.2500)  2 Ga 2.65
Ag (0.3791, 0.6209, 0.5405)  3 Ga 2.66-2.84, 1 Ag 2.90
Ag (0.3791, 0.6209, 0.9595)  3 Ga 2.66-2.84, 1 Ag 2.90
Ag (0.6209, 0.3791, 0.0405)  3 Ga 2.66-2.84, 1 Ag 2.90
Ag (0.6209, 0.3791, 0.4595)  3 Ga 2.66-2.84, 1 Ag 2.90
Ag (0.6731, 0.3269, 0.7500)  2 Ga 2.65

For the density of states at the Fermi level, the calculation gives 0.624 states/eV per atom. As for the spin magnetization: 0.0 μB per formula unit. The total energy comes out at -23.560 eV per formula unit.

(2)
Entry from the Alexandria database: VGaFe2 after structural relaxation (PBE).

Cell lengths 2.8856, 2.8856, 5.6667 Å; angles 90.00, 90.00, 90.00 degrees
Last column: nearest neighbours and their distance in Å.
Fractional positions:
V (0.0000, 0.0000, 0.0000)  8 Fe 2.45
Ga (0.0000, 0.0000, 0.5000)  8 Fe 2.52
Fe (0.5000, 0.5000, 0.2396)  4 V 2.45, 4 Ga 2.52, 1 Fe 2.72
Fe (0.5000, 0.5000, 0.7604)  4 V 2.45, 4 Ga 2.52, 1 Fe 2.72

For the density of states at the Fermi level, the calculation gives 0.386 states/eV per atom. As for the spin magnetization: 0.1 μB per formula unit. The total energy comes out at -30.027 eV per formula unit.

(3)
Entry from the Alexandria database: Cs7RbAu6 after structural relaxation (PBE).

Cell lengths 9.4944, 9.4944, 9.4944 Å; angles 69.02, 69.02, 69.02 degrees
Last column: nearest neighbours and their distance in Å.
Fractional positions:
Cs (0.0000, 0.0000, 0.0000)  6 Au 3.62-3.72
Cs (0.1478, 0.7012, 0.4416)  5 Au 3.67-3.85
Cs (0.2251, 0.5196, 0.9658)  5 Au 3.68-3.80
Cs (0.4416, 0.1478, 0.7012)  5 Au 3.67-3.85
Cs (0.5196, 0.9658, 0.2251)  5 Au 3.68-3.80
Cs (0.7012, 0.4416, 0.1478)  5 Au 3.67-3.85
Cs (0.9658, 0.2251, 0.5196)  5 Au 3.68-3.80
Rb (0.6667, 0.6667, 0.6667)  6 Au 3.53-3.64
Au (0.0144, 0.3973, 0.7846)  6 Cs 3.62-3.85, 1 Rb 3.64, 1 Au 3.75
Au (0.2797, 0.8775, 0.6478)  1 Rb 3.53, 6 Cs 3.68-3.80, 1 Au 3.75
Au (0.3973, 0.7846, 0.0144)  6 Cs 3.62-3.85, 1 Rb 3.64, 1 Au 3.75
Au (0.6478, 0.2797, 0.8775)  1 Rb 3.53, 6 Cs 3.68-3.80, 1 Au 3.75
Au (0.7846, 0.0144, 0.3973)  6 Cs 3.62-3.85, 1 Rb 3.64, 1 Au 3.75
Au (0.8775, 0.6478, 0.2797)  1 Rb 3.53, 6 Cs 3.68-3.80, 1 Au 3.75

For the density of states at the Fermi level, the calculation gives 0.601 states/eV per atom. As for the spin magnetization: 0.0 μB per formula unit. The total energy comes out at -30.528 eV per formula unit.